Mn4V2Ge | PBE | optimized geometry

ΔE_f: 0.832 eV/atom
Density: 5.626 g/cm3
Space-group type: I4/mmm (139)

Structure (POSCAR):
```
Mn4V2Ge
1.0
4.366 0.000 0.000
0.000 4.366 0.000
2.183 2.183 6.106
Mn V Ge
4 2 1
direct
0.802 0.802 0.397
0.198 0.198 0.603
0.500 0.000 0.000
0.000 0.500 0.000
0.381 0.381 0.237
0.619 0.619 0.763
0.000 0.000 0.000
```